(1)
The following is a PBE-GGA calculation of a geometry-optimized SrLa2Be structure, from Alexandria.

As for the volume: 31.10 Å³ per atom. For the formation energy, the calculation gives 0.460 eV per atom. As for the density: 5.00 g/cm³. As for the space group: I-4m2, No. 119. The calculation puts the electronic total energy at -3.3562 eV/atom.

a = 6.251 Å, b = 6.251 Å, c = 6.251 Å
α = 133.97°, β = 133.97°, γ = 67.14°
Atoms (fractional coordinates):
Sr 0.500 0.500 0.000
Be 0.750 0.250 0.500
La 0.250 0.750 0.500
La 0.000 0.000 0.000

(2)
The following is a PBE-GGA calculation of a geometry-optimized HgGePCl2 structure, from Alexandria.

As for the volume: 24.38 Å³ per atom. The formation energy (no corrections) is 0.09 eV/atom. The calculation puts the excess energy over the best structure of this formula in the dataset at 0 meV/atom. As for the density: 5.11 g/cm³. As for the space group: P4/mmm, No. 123. The calculation puts the electronic total energy at -2.7118 eV/atom.

a = 4.885 Å, b = 4.885 Å, c = 5.108 Å
α = 90.00°, β = 90.00°, γ = 90.00°
Last column: magnetic moment on the atom in μB.
Atoms (fractional coordinates):
Hg 0.500 0.500 0.500  -0.01
Cl 0.000 0.500 0.000  0.01
Cl 0.500 0.000 0.000  0.01
P 0.000 0.000 0.500  0.10
Ge 0.000 0.000 0.000  0.00